Material: U3Ni5Ge2
Method: DFT, PBE
State: optimized geometry

a b c (Å): 8.4563 8.4563 8.4563
angles (deg): 99.76 91.54 143.48
Closest atoms and distances in Å follow each position.
Element x y z (fractional)
U (0.1243, 0.6805, 0.8048)  7 Ni 2.79-3.10, 3 Ge 3.00
U (0.2500, 0.2500, 0.0000)  2 Ni 2.44, 2 U 2.65
U (0.3757, 0.1805, 0.5563)  7 Ni 2.79-3.10, 3 Ge 3.00
U (0.6243, 0.8195, 0.4437)  7 Ni 2.79-3.10, 3 Ge 3.00
U (0.7500, 0.7500, 0.0000)  2 Ni 2.44, 2 U 2.65
U (0.8757, 0.3195, 0.1952)  7 Ni 2.79-3.10, 3 Ge 3.00
Ni (0.0433, 0.2500, 0.7933)  4 Ni 2.43-2.65, 1 U 2.44, 2 Ge 2.65
Ni (0.1475, 0.3994, 0.5468)  1 Ge 2.30, 4 Ni 2.43-2.45
Ni (0.2500, 0.7500, 0.5000)  6 Ni 2.45-2.65
Ni (0.3525, 0.8994, 0.2519)  1 Ge 2.30, 4 Ni 2.43-2.45
Ni (0.4567, 0.2500, 0.2067)  4 Ni 2.43-2.65, 1 U 2.44, 2 Ge 2.65
Ni (0.5433, 0.7500, 0.7933)  4 Ni 2.43-2.65, 1 U 2.44, 2 Ge 2.65
Ni (0.6475, 0.1006, 0.7481)  1 Ge 2.30, 4 Ni 2.43-2.45
Ni (0.7500, 0.2500, 0.5000)  6 Ni 2.45-2.65
Ni (0.8525, 0.6006, 0.4532)  1 Ge 2.30, 4 Ni 2.43-2.45
Ni (0.9567, 0.7500, 0.2067)  4 Ni 2.43-2.65, 1 U 2.44, 2 Ge 2.65
Ge (0.1218, 0.1899, 0.3117)  1 Ni 2.30
Ge (0.3782, 0.6899, 0.0680)  1 Ni 2.30
Ge (0.6218, 0.3101, 0.9320)  1 Ni 2.30
Ge (0.8782, 0.8101, 0.6883)  1 Ni 2.30

Uncorrected energy ... -0.5350 Ry/atom
Formation energy ... -1.81 kcal/mol of atoms
Space group ... Ibam


Material: UZnNi2Ge2
Method: DFT, PBE
State: optimized geometry

a b c (Å): 4.0690 4.0690 6.6894
angles (deg): 90.00 90.00 120.00
Closest atoms and distances in Å follow each position.
Element x y z (fractional)
U (0.0000, 0.0000, 0.0000)  6 Ge 2.93
Zn (0.0000, 0.0000, 0.5000)  6 Ni 2.53
Ni (0.3333, 0.6667, 0.3591)  4 Ge 2.44-2.53, 3 Zn 2.53
Ni (0.6667, 0.3333, 0.6409)  4 Ge 2.44-2.53, 3 Zn 2.53
Ge (0.3333, 0.6667, 0.7375)  4 Ni 2.44-2.53
Ge (0.6667, 0.3333, 0.2625)  4 Ni 2.44-2.53

Uncorrected energy ... -0.4301 Ry/atom
Formation energy ... -6.72 kcal/mol of atoms
Space group ... P-3m1


Material: V2Ni2Ge
Method: DFT, PBE
State: optimized geometry

a b c (Å): 6.9513 6.9513 2.7867
angles (deg): 90.00 90.00 90.00
Closest atoms and distances in Å follow each position.
Element x y z (fractional)
V (0.1670, 0.3330, 0.0000)  6 Ni 2.46-2.49, 2 Ge 2.59
V (0.3330, 0.8330, 0.0000)  6 Ni 2.46-2.49, 2 Ge 2.59
V (0.6670, 0.1670, 0.0000)  6 Ni 2.46-2.49, 2 Ge 2.59
V (0.8330, 0.6670, 0.0000)  6 Ni 2.46-2.49, 2 Ge 2.59
Ni (0.1266, 0.6266, 0.5000)  6 V 2.46-2.49, 1 Ni 2.49
Ni (0.3734, 0.1266, 0.5000)  6 V 2.46-2.49, 1 Ni 2.49
Ni (0.6266, 0.8734, 0.5000)  6 V 2.46-2.49, 1 Ni 2.49
Ni (0.8734, 0.3734, 0.5000)  6 V 2.46-2.49, 1 Ni 2.49
Ge (0.0000, 0.0000, 0.0000)  4 V 2.59, 2 Ge 2.79
Ge (0.5000, 0.5000, 0.0000)  4 V 2.59, 2 Ge 2.79

Excess energy over the best structure of this formula in the dataset ... 0.192 eV/atom
Uncorrected energy ... -0.4977 Ry/atom
Formation energy ... 2.58 kcal/mol of atoms
Space group ... P4/mbm


Material: V3NiGe
Method: DFT, PBE
State: optimized geometry

a b c (Å): 4.3211 4.3211 4.3211
angles (deg): 90.00 90.00 90.00
Closest atoms and distances in Å follow each position.
Element x y z (fractional)
V (0.0000, 0.0000, 0.5000)  2 Ni 2.16
V (0.0000, 0.5000, 0.0000)  2 Ni 2.16
V (0.5000, 0.0000, 0.0000)  2 Ni 2.16
Ni (0.0000, 0.0000, 0.0000)  6 V 2.16
Ge (0.5000, 0.5000, 0.5000)  12 V 3.06

Excess energy over the best structure of this formula in the dataset ... 0.561 eV/atom
Uncorrected energy ... -0.5022 Ry/atom
Formation energy ... 16.57 kcal/mol of atoms
Space group ... Pm-3m


Material: VNi4Ge
Method: DFT, PBE
State: optimized geometry

a b c (Å): 4.3252 7.7374 4.3215
angles (deg): 90.00 105.39 90.00
Closest atoms and distances in Å follow each position.
Element x y z (fractional)
V (0.0000, 0.0000, 0.0000)  10 Ni 2.50-2.58, 2 Ge 2.62
V (0.5000, 0.5000, 0.0000)  10 Ni 2.50-2.58, 2 Ge 2.62
Ni (0.0000, 0.1636, 0.5000)  2 V 2.50, 3 Ge 2.51-2.60, 7 Ni 2.53-2.62
Ni (0.0000, 0.3337, 0.0000)  2 Ge 2.52, 3 V 2.52-2.58, 7 Ni 2.52-2.62
Ni (0.0000, 0.6663, 0.0000)  2 Ge 2.52, 3 V 2.52-2.58, 7 Ni 2.52-2.62
Ni (0.0000, 0.8364, 0.5000)  2 V 2.50, 3 Ge 2.51-2.60, 7 Ni 2.53-2.62
Ni (0.5000, 0.1663, 0.0000)  2 Ge 2.52, 3 V 2.52-2.58, 7 Ni 2.52-2.62
Ni (0.5000, 0.3364, 0.5000)  2 V 2.50, 3 Ge 2.51-2.60, 7 Ni 2.53-2.62
Ni (0.5000, 0.6636, 0.5000)  2 V 2.50, 3 Ge 2.51-2.60, 7 Ni 2.53-2.62
Ni (0.5000, 0.8337, 0.0000)  2 Ge 2.52, 3 V 2.52-2.58, 7 Ni 2.52-2.62
Ge (0.0000, 0.5000, 0.5000)  10 Ni 2.51-2.60, 2 V 2.62
Ge (0.5000, 0.0000, 0.5000)  10 Ni 2.51-2.60, 2 V 2.62

Excess energy over the best structure of this formula in the dataset ... 0.000 eV/atom
Uncorrected energy ... -0.4701 Ry/atom
Formation energy ... -5.84 kcal/mol of atoms
Space group ... C2/m


Material: V2NiGe
Method: DFT, PBE
State: optimized geometry

a b c (Å): 6.6704 6.6704 5.0263
angles (deg): 90.00 90.00 90.00
Closest atoms and distances in Å follow each position.
Element x y z (fractional)
V (0.2339, 0.2500, 0.1250)  2 Ni 2.37, 2 Ge 2.52, 2 V 2.52
V (0.2500, 0.7339, 0.3750)  2 Ni 2.37, 2 Ge 2.52, 2 V 2.52
V (0.2500, 0.7661, 0.8750)  2 Ni 2.37, 2 Ge 2.52, 2 V 2.52
V (0.2661, 0.2500, 0.6250)  2 Ni 2.37, 2 Ge 2.52, 2 V 2.52
V (0.7339, 0.7500, 0.6250)  2 Ni 2.37, 2 Ge 2.52, 2 V 2.52
V (0.7500, 0.2339, 0.8750)  2 Ni 2.37, 2 Ge 2.52, 2 V 2.52
V (0.7500, 0.2661, 0.3750)  2 Ni 2.37, 2 Ge 2.52, 2 V 2.52
V (0.7661, 0.7500, 0.1250)  2 Ni 2.37, 2 Ge 2.52, 2 V 2.52
Ni (0.0000, 0.0000, 0.0000)  4 V 2.37, 2 Ge 2.51
Ni (0.0000, 0.5000, 0.2500)  4 V 2.37, 2 Ge 2.51
Ni (0.5000, 0.0000, 0.7500)  4 V 2.37, 2 Ge 2.51
Ni (0.5000, 0.5000, 0.5000)  4 V 2.37, 2 Ge 2.51
Ge (0.0000, 0.0000, 0.5000)  2 Ni 2.51, 4 V 2.52
Ge (0.0000, 0.5000, 0.7500)  2 Ni 2.51, 4 V 2.52
Ge (0.5000, 0.0000, 0.2500)  2 Ni 2.51, 4 V 2.52
Ge (0.5000, 0.5000, 0.0000)  2 Ni 2.51, 4 V 2.52

Uncorrected energy ... -0.5150 Ry/atom
Formation energy ... 3.50 kcal/mol of atoms
Space group ... I-42d


Material: VNi15Ge4
Method: DFT, PBE
State: optimized geometry

a b c (Å): 3.5748 3.5748 17.8358
angles (deg): 90.00 90.00 90.00
Closest atoms and distances in Å follow each position.
Element x y z (fractional)
V (0.0000, 0.0000, 0.0000)  12 Ni 2.49-2.53
Ni (0.0000, 0.5000, 0.0969)  8 Ni 2.49-2.54, 2 V 2.49, 2 Ge 2.58
Ni (0.0000, 0.5000, 0.2992)  4 Ge 2.50-2.54, 8 Ni 2.53-2.54
Ni (0.0000, 0.5000, 0.5000)  4 Ge 2.52, 8 Ni 2.53
Ni (0.0000, 0.5000, 0.7008)  4 Ge 2.50-2.54, 8 Ni 2.53-2.54
Ni (0.0000, 0.5000, 0.9031)  8 Ni 2.49-2.54, 2 V 2.49, 2 Ge 2.58
Ni (0.5000, 0.0000, 0.0969)  8 Ni 2.49-2.54, 2 V 2.49, 2 Ge 2.58
Ni (0.5000, 0.0000, 0.2992)  4 Ge 2.50-2.54, 8 Ni 2.53-2.54
Ni (0.5000, 0.0000, 0.5000)  4 Ge 2.52, 8 Ni 2.53
Ni (0.5000, 0.0000, 0.7008)  4 Ge 2.50-2.54, 8 Ni 2.53-2.54
Ni (0.5000, 0.0000, 0.9031)  8 Ni 2.49-2.54, 2 V 2.49, 2 Ge 2.58
Ni (0.5000, 0.5000, 0.0000)  8 Ni 2.49, 4 V 2.53
Ni (0.5000, 0.5000, 0.1981)  4 Ge 2.53, 8 Ni 2.54
Ni (0.5000, 0.5000, 0.3994)  4 Ge 2.53, 8 Ni 2.53
Ni (0.5000, 0.5000, 0.6006)  4 Ge 2.53, 8 Ni 2.53
Ni (0.5000, 0.5000, 0.8019)  4 Ge 2.53, 8 Ni 2.54
Ge (0.0000, 0.0000, 0.2012)  12 Ni 2.50-2.58
Ge (0.0000, 0.0000, 0.4003)  12 Ni 2.52-2.54
Ge (0.0000, 0.0000, 0.5997)  12 Ni 2.52-2.54
Ge (0.0000, 0.0000, 0.7988)  12 Ni 2.50-2.58

Uncorrected energy ... -0.4406 Ry/atom
Formation energy ... -6.44 kcal/mol of atoms
Space group ... P4/mmm


Material: V3NiGe
Method: DFT, PBE
State: optimized geometry

a b c (Å): 5.9691 5.9691 5.9691
angles (deg): 90.06 110.66 130.24
Closest atoms and distances in Å follow each position.
Element x y z (fractional)
V (0.0929, 0.9423, 0.6506)  1 Ni 2.34, 2 V 2.38, 3 Ge 2.46-2.55
V (0.2012, 0.0057, 0.2069)  1 Ni 2.32, 3 V 2.38-2.60
V (0.2012, 0.4943, 0.6955)  1 Ni 2.32, 3 V 2.38-2.60
V (0.2918, 0.4423, 0.3494)  1 Ni 2.34, 2 V 2.38, 3 Ge 2.46-2.55
V (0.7988, 0.5057, 0.3045)  1 Ni 2.32, 3 V 2.38-2.60
V (0.7988, 0.9943, 0.7931)  1 Ni 2.32, 3 V 2.38-2.60
Ni (0.1423, 0.6136, 0.0288)  2 Ge 2.32-2.41, 3 V 2.32-2.34, 2 Ni 2.54
Ni (0.5848, 0.1136, 0.9712)  2 Ge 2.32-2.41, 3 V 2.32-2.34, 2 Ni 2.54
Ge (0.6541, 0.4419, 0.7121)  2 Ni 2.32-2.41, 3 V 2.46-2.55
Ge (0.7298, 0.9419, 0.2879)  2 Ni 2.32-2.41, 3 V 2.46-2.55

Excess energy over the best structure of this formula in the dataset ... 0.000 eV/atom
Uncorrected energy ... -0.5434 Ry/atom
Formation energy ... 3.64 kcal/mol of atoms
Space group ... Ima2


Material: V8Ni2Ge
Method: DFT, PBE
State: optimized geometry

a b c (Å): 6.0393 6.0393 5.6752
angles (deg): 105.99 105.99 48.38
Closest atoms and distances in Å follow each position.
Element x y z (fractional)
V (0.0906, 0.0906, 0.9145)  1 Ni 2.40, 4 V 2.44-2.56
V (0.1490, 0.6700, 0.5904)  5 V 2.37-2.58, 2 Ni 2.41-2.62, 1 Ge 2.58
V (0.3019, 0.3019, 0.2174)  3 V 2.44-2.46, 3 Ni 2.52-2.61
V (0.3300, 0.8510, 0.4096)  5 V 2.37-2.58, 2 Ni 2.41-2.62, 1 Ge 2.58
V (0.6700, 0.1490, 0.5904)  5 V 2.37-2.58, 2 Ni 2.41-2.62, 1 Ge 2.58
V (0.6981, 0.6981, 0.7826)  3 V 2.44-2.46, 3 Ni 2.52-2.61
V (0.8510, 0.3300, 0.4096)  5 V 2.37-2.58, 2 Ni 2.41-2.62, 1 Ge 2.58
V (0.9094, 0.9094, 0.0855)  1 Ni 2.40, 4 V 2.44-2.56
Ni (0.2699, 0.2699, 0.7584)  8 V 2.40-2.62, 1 Ge 2.49
Ni (0.7301, 0.7301, 0.2416)  8 V 2.40-2.62, 1 Ge 2.49
Ge (0.5000, 0.5000, 0.0000)  2 Ni 2.49, 8 V 2.58-2.77

Uncorrected energy ... -0.5904 Ry/atom
Formation energy ... 1.60 kcal/mol of atoms
Space group ... C2/m


Material: V5NiGe5
Method: DFT, PBE
State: optimized geometry

a b c (Å): 5.1322 5.1322 8.1748
angles (deg): 98.27 98.27 52.82
Closest atoms and distances in Å follow each position.
Element x y z (fractional)
V (0.0000, 0.0000, 0.0000)  2 Ge 2.50, 6 V 2.66-2.74
V (0.2924, 0.2924, 0.0757)  4 Ge 2.45-2.66, 5 V 2.53-2.66
V (0.4337, 0.4337, 0.8181)  4 V 2.53-2.74, 4 Ge 2.60-2.76
V (0.5663, 0.5663, 0.1819)  4 V 2.53-2.74, 4 Ge 2.60-2.76
V (0.7076, 0.7076, 0.9243)  4 Ge 2.45-2.66, 5 V 2.53-2.66
Ni (0.0000, 0.0000, 0.5000)  6 Ge 2.28-2.38
Ge (0.1467, 0.1467, 0.7675)  1 Ni 2.38, 5 V 2.50-2.66
Ge (0.1689, 0.1689, 0.3196)  1 Ni 2.31, 1 V 2.45
Ge (0.5000, 0.5000, 0.5000)  2 Ni 2.28
Ge (0.8311, 0.8311, 0.6804)  1 Ni 2.31, 1 V 2.45
Ge (0.8533, 0.8533, 0.2325)  1 Ni 2.38, 5 V 2.50-2.66

Uncorrected energy ... -0.4977 Ry/atom
Formation energy ... -0.06 kcal/mol of atoms
Space group ... C2/m


> The lowest formation energy belongs to which entry?

UZnNi2Ge2


> What is the formula in the tenth record?

V5NiGe5